# PBE LiAc3Mg2, optimized geometry
data_LiAc3Mg2
_chemical_formula_sum 'Li1 Ac3 Mg2'
_cell_length_a 4.115
_cell_length_b 4.115
_cell_length_c 12.269
_cell_angle_alpha 90.00
_cell_angle_beta 90.00
_cell_angle_gamma 90.00
_space_group_name_H-M_alt 'P 4/m m m'
_space_group_IT_number 123
_space_group_name_Hall '-P 4 2'
loop_
_atom_site_label
_atom_site_type_symbol
_atom_site_fract_x
_atom_site_fract_y
_atom_site_fract_z
Li1 Li 0.000 0.000 0.000
Ac1 Ac 0.500 0.500 0.168
Ac2 Ac 0.500 0.500 0.500
Mg1 Mg 0.000 0.000 0.334
# Uncorrected energy (Ry per atom): -0.2162
# Energy of formation from the pure elements (kcal/mol of atoms): -0.86
# Crystal system: tetragonal